[1]
! PBE ReW2, relaxed; values from VASP
! Total magnetization ... 0.000 Bohr magnetons per cell
! Formation enthalpy at 0 K ... 0.22 eV per formula unit
! Relative energy among the computed polymorphs ... 26 meV/atom
! DFT total energy ... -12.710 eV per atom
&SYSTEM
  ibrav = 0, nat = 3, ntyp = 2
/
ATOMIC_SPECIES
Re 186.21 Re.upf
W 183.84 W.upf
CELL_PARAMETERS angstrom
4.452 0.000 0.000
-2.226 3.856 0.000
0.000 0.000 2.758
ATOMIC_POSITIONS crystal
Re 0.000 0.000 0.000
W 0.333 0.667 0.338
W 0.667 0.333 0.662



[2]
! PBE Li2Dy2TmIn5, relaxed; values from VASP
! Total magnetization ... 0.000 Bohr magnetons per cell
! Formation enthalpy at 0 K ... -3.67 eV per formula unit
! DFT total energy ... -3.487 eV per atom
&SYSTEM
  ibrav = 0, nat = 20, ntyp = 4
/
ATOMIC_SPECIES
Li 6.94 Li.upf
Dy 162.50 Dy.upf
Tm 168.93 Tm.upf
In 114.82 In.upf
CELL_PARAMETERS angstrom
10.260 0.000 0.000
0.000 10.260 0.000
0.000 0.000 4.411
ATOMIC_POSITIONS crystal
Li 0.119 0.381 0.000
Li 0.381 0.881 0.000
Li 0.619 0.119 0.000
Li 0.881 0.619 0.000
Dy 0.175 0.675 0.000
Dy 0.325 0.175 0.000
Dy 0.675 0.825 0.000
Dy 0.825 0.325 0.000
Tm 0.000 0.000 0.000
Tm 0.500 0.500 0.000
In 0.000 0.500 0.500
In 0.073 0.211 0.500
In 0.211 0.927 0.500
In 0.289 0.427 0.500
In 0.427 0.711 0.500
In 0.500 0.000 0.500
In 0.573 0.289 0.500
In 0.711 0.573 0.500
In 0.789 0.073 0.500
In 0.927 0.789 0.500



[3]
! PBE NdGd2Dy, relaxed; values from VASP
! Total magnetization ... 45.975 Bohr magnetons per cell
! Formation enthalpy at 0 K ... 0.58 eV per formula unit
! Relative energy among the computed polymorphs ... 125 meV/atom
! DFT total energy ... -9.238 eV per atom
&SYSTEM
  ibrav = 0, nat = 12, ntyp = 3
/
ATOMIC_SPECIES
Nd 144.24 Nd.upf
Gd 157.25 Gd.upf
Dy 162.50 Dy.upf
CELL_PARAMETERS angstrom
3.523 0.000 0.000
-1.761 3.051 0.000
0.000 0.000 37.336
ATOMIC_POSITIONS crystal
Nd 0.000 0.000 0.000
Nd 0.333 0.667 0.667
Nd 0.667 0.333 0.333
Gd 0.000 0.000 0.090
Gd 0.000 0.000 0.910
Gd 0.333 0.667 0.576
Gd 0.333 0.667 0.757
Gd 0.667 0.333 0.243
Gd 0.667 0.333 0.424
Dy 0.000 0.000 0.500
Dy 0.333 0.667 0.167
Dy 0.667 0.333 0.833



[4]
! PBE SiRuBr2, relaxed; values from VASP
! Total magnetization ... 2.202 Bohr magnetons per cell
! Relative energy among the computed polymorphs ... 963 meV/atom
! DFT total energy ... -3.634 eV per atom
! Formation energy from raw total energies ... 877.0 meV/atom
&SYSTEM
  ibrav = 0, nat = 4, ntyp = 3
/
ATOMIC_SPECIES
Si 28.09 Si.upf
Ru 101.07 Ru.upf
Br 79.90 Br.upf
CELL_PARAMETERS angstrom
3.354 0.000 0.000
0.000 3.354 0.000
0.000 0.000 7.090
ATOMIC_POSITIONS crystal
Si 0.000 0.000 0.000
Ru 0.000 0.000 0.500
Br 0.500 0.500 0.268
Br 0.500 0.500 0.732